Material: ZnSi
Method: DFT, SCAN
State: PBEsol geometry

a = 3.883 Å, b = 3.883 Å, c = 3.883 Å
α = 60.00°, β = 60.00°, γ = 60.00°
Sites, in units of the cell vectors:
Zn: 0.250 0.250 0.250
Si: 0.000 0.000 0.000

Results
Energy   -11.05 eV per atom
Calculated volume   41 Å³/cell